## CsBiAs2Se (PBE)

Data for a relaxed CsBiAs2Se crystal.

Output
Total energy, Ry per atom: -0.2404
DOS(E_F), states/eV per atom: 0.807
Crystal system: tetragonal
Total moment, μB per formula unit: 2.4

abc: 5.6415 5.6415 5.8415
angles: 90.00 90.00 90.00
With the nearest neighbours (Å) after each atom.
Sites, in units of the cell vectors:
Se1 0.0000 0.0000 0.5000  2 Bi 2.92
Cs1 0.5000 0.5000 0.5000  4 Se 3.99, 8 As 4.06
Bi1 0.0000 0.0000 0.0000  4 As 2.82, 2 Se 2.92
As1 0.5000 0.0000 0.0000  2 Bi 2.82
As2 0.0000 0.5000 0.0000  2 Bi 2.82